{
  "formula": "SrPCl2F",
  "functional": "PBE",
  "state": "relaxed",
  "cell": [[5.485, 0.000, 0.000], [0.000, 5.485, 0.000], [0.000, 0.000, 8.050]],
  "species": ["Sr", "F", "P", "Cl", "Cl"],
  "fractional_positions": [[0.000, 0.000, 0.000], [0.500, 0.500, 0.500], [0.000, 0.000, 0.500], [0.000, 0.500, 0.000], [0.500, 0.000, 0.000]],
  "dft_energy_ev_per_atom": -3.042,
  "m_tot_mub_per_fu": 2.2,
  "e_form_raw_ev_per_atom": -0.5110,
  "polymorph_energy_kj_per_mol_atoms": 54.39,
  "space_group": "P4/mmm"
}